Entry 1:
Compound: TbHoMg2Sn2
Source: OQMD
Functional: PBE-GGA
Structure: optimized geometry

The structure in POSCAR format:
```
TbHoMg2Sn2
1.0
4.392 0.000 0.000
0.000 4.392 0.000
0.000 0.000 15.877
Tb Ho Mg Sn
2 2 4 4
direct
0.000 0.000 0.000
0.500 0.500 0.500
0.000 0.000 0.667
0.500 0.500 0.167
0.000 0.500 0.333
0.000 0.500 0.833
0.500 0.000 0.333
0.500 0.000 0.833
0.000 0.000 0.197
0.000 0.000 0.469
0.500 0.500 0.697
0.500 0.500 0.969
```

## Properties
Magnetic moment ... 0.001 μB per atom
Uncorrected energy ... -3.96 eV/atom
ρ ... 6.614 g cm⁻³
Space-group type ... I4mm (107)



Entry 2:
Compound: TbHoMg
Source: OQMD
Functional: PBE-GGA
Structure: optimized geometry

The structure in POSCAR format:
```
TbHoMg
1.0
7.385 0.000 0.000
0.000 7.385 0.000
0.000 0.000 7.385
Tb Ho Mg
4 4 4
direct
0.000 0.000 0.000
0.000 0.500 0.500
0.500 0.000 0.500
0.500 0.500 0.000
0.000 0.000 0.500
0.000 0.500 0.000
0.500 0.000 0.000
0.500 0.500 0.500
0.250 0.250 0.750
0.250 0.750 0.250
0.750 0.250 0.250
0.750 0.750 0.750
```

## Properties
Magnetic moment ... 0.011 μB per atom
Uncorrected energy ... -3.16 eV/atom
Polymorph energy (0 for the lowest one) ... 0.00 kJ per mole of atoms
ρ ... 5.741 g cm⁻³
Space-group type ... F-43m (216)



Entry 3:
Compound: TbHoMg4
Source: OQMD
Functional: PBE-GGA
Structure: optimized geometry

The structure in POSCAR format:
```
TbHoMg4
1.0
5.228 0.000 0.000
0.000 6.576 0.000
0.000 0.000 9.051
Tb Ho Mg
2 2 8
direct
0.000 0.000 0.000
0.500 0.500 0.500
0.000 0.500 0.001
0.500 0.000 0.501
0.000 0.249 0.334
0.000 0.251 0.667
0.000 0.749 0.667
0.000 0.751 0.334
0.500 0.249 0.167
0.500 0.251 0.834
0.500 0.749 0.834
0.500 0.751 0.167
```

## Properties
Magnetic moment ... 0.004 μB per atom
Uncorrected energy ... -2.63 eV/atom
ρ ... 4.494 g cm⁻³
Space-group type ... Imm2 (44)



Entry 4:
Compound: Ho3MgTc
Source: OQMD
Functional: PBE-GGA
Structure: optimized geometry

The structure in POSCAR format:
```
Ho3MgTc
1.0
-3.722 3.722 5.377
3.722 -3.722 5.377
3.722 3.722 -5.377
Ho Mg Tc
6 2 2
direct
0.212 0.712 0.924
0.250 0.250 0.000
0.288 0.212 0.500
0.712 0.788 0.500
0.750 0.750 0.000
0.788 0.288 0.076
0.250 0.750 0.500
0.750 0.250 0.500
0.000 0.000 0.000
0.500 0.500 0.000
```

## Properties
Magnetic moment ... 0.000 μB per atom
Uncorrected energy ... -4.98 eV/atom
ρ ... 6.879 g cm⁻³
Space-group type ... I4/mcm (140)



Entry 5:
Compound: Ho4MgTc
Source: OQMD
Functional: PBE-GGA
Structure: optimized geometry

The structure in POSCAR format:
```
Ho4MgTc
1.0
4.427 -6.387 0.000
4.427 6.387 0.000
-1.927 0.000 5.890
Ho Mg Tc
8 2 2
direct
0.064 0.727 0.949
0.189 0.358 0.620
0.273 0.936 0.551
0.358 0.189 0.120
0.642 0.811 0.880
0.727 0.064 0.449
0.811 0.642 0.380
0.936 0.273 0.051
0.379 0.621 0.250
0.621 0.379 0.750
0.001 0.999 0.750
0.999 0.001 0.250
```

## Properties
Magnetic moment ... 0.002 μB per atom
Uncorrected energy ... -5.13 eV/atom
ρ ... 7.797 g cm⁻³
Space-group type ... C2/c (15)



Entry 6:
Compound: HoMgTc
Source: OQMD
Functional: PBE-GGA
Structure: optimized geometry

The structure in POSCAR format:
```
HoMgTc
1.0
6.716 0.000 0.000
0.000 6.716 0.000
0.000 0.000 6.716
Ho Mg Tc
4 4 4
direct
0.000 0.000 0.000
0.000 0.500 0.500
0.500 0.000 0.500
0.500 0.500 0.000
0.250 0.250 0.750
0.250 0.750 0.250
0.750 0.250 0.250
0.750 0.750 0.750
0.250 0.250 0.250
0.250 0.750 0.750
0.750 0.250 0.750
0.750 0.750 0.250
```

## Properties
Magnetic moment ... 0.605 μB per atom
Uncorrected energy ... -4.39 eV/atom
ρ ... 6.297 g cm⁻³
Space-group type ... F-43m (216)